(1)
# ZrSiRu2 GGA-PBE relaxed
# Raw formation energy ... 0.009 eV per atom
data_ZrSiRu2
_chemical_formula_sum 'Zr3 Si3 Ru6'
_symmetry_space_group_name_H-M 'R 3 m'
_symmetry_Int_Tables_number 160
_symmetry_space_group_name_Hall 'R 3 -2"'
_cell_length_a 2.8739
_cell_length_b 2.8739
_cell_length_c 26.4216
_cell_angle_alpha 90.00
_cell_angle_beta 90.00
_cell_angle_gamma 120.00
loop_
_atom_site_label
_atom_site_type_symbol
_atom_site_fract_x
_atom_site_fract_y
_atom_site_fract_z
_atom_site_occupancy
Zr1 Zr 0.0000 0.0000 0.0000 1
Si1 Si 0.0000 0.0000 0.7583 1
Ru1 Ru 0.0000 0.0000 0.2412 1
Ru2 Ru 0.0000 0.0000 0.4942 1

---

(2)
# BaSr2BiAs GGA-PBE relaxed
# Energy of formation from the pure elements ... -859.0 meV/atom
data_BaSr2BiAs
_chemical_formula_sum 'Ba1 Sr2 Bi1 As1'
_symmetry_space_group_name_H-M 'P 4/m m m'
_symmetry_Int_Tables_number 123
_symmetry_space_group_name_Hall '-P 4 2'
_cell_length_a 5.889
_cell_length_b 5.889
_cell_length_c 6.244
_cell_angle_alpha 90.00
_cell_angle_beta 90.00
_cell_angle_gamma 90.00
loop_
_atom_site_label
_atom_site_type_symbol
_atom_site_fract_x
_atom_site_fract_y
_atom_site_fract_z
_atom_site_occupancy
Ba1 Ba 0.000 0.000 0.000 1
Sr1 Sr 0.000 0.500 0.500 1
Bi1 Bi 0.500 0.500 0.000 1
As1 As 0.000 0.000 0.500 1

---

(3)
# SrLa4Cr GGA-PBE relaxed
# Energy of formation from the pure elements ... 556.9 meV/atom
data_SrLa4Cr
_chemical_formula_sum 'Sr4 La16 Cr4'
_symmetry_space_group_name_H-M 'F -4 3 m'
_symmetry_Int_Tables_number 216
_symmetry_space_group_name_Hall 'F -4 2 3'
_cell_length_a 9.586
_cell_length_b 9.586
_cell_length_c 9.586
_cell_angle_alpha 90.00
_cell_angle_beta 90.00
_cell_angle_gamma 90.00
loop_
_atom_site_label
_atom_site_type_symbol
_atom_site_fract_x
_atom_site_fract_y
_atom_site_fract_z
_atom_site_occupancy
Sr1 Sr 0.000 0.000 0.000 1
La1 La 0.120 0.120 0.380 1
Cr1 Cr 0.250 0.250 0.750 1

---

(4)
# Ti2SiPb2 GGA-PBE relaxed
# Raw formation energy ... 0.428 eV per atom
# E above lowest polymorph ... 0.4738 eV/atom
data_Ti2SiPb2
_chemical_formula_sum 'Ti4 Si2 Pb4'
_symmetry_space_group_name_H-M 'P 4/m b m'
_symmetry_Int_Tables_number 127
_symmetry_space_group_name_Hall '-P 4 2ab'
_cell_length_a 8.454
_cell_length_b 8.454
_cell_length_c 3.125
_cell_angle_alpha 90.00
_cell_angle_beta 90.00
_cell_angle_gamma 90.00
loop_
_atom_site_label
_atom_site_type_symbol
_atom_site_fract_x
_atom_site_fract_y
_atom_site_fract_z
_atom_site_occupancy
Ti1 Ti 0.117 0.383 0.000 1
Si1 Si 0.000 0.000 0.500 1
Pb1 Pb 0.177 0.677 0.500 1

---

(5)
# Pr4NiIrBr2 GGA-PBE relaxed
# Raw formation energy ... -0.949 eV per atom
data_Pr4NiIrBr2
_chemical_formula_sum 'Pr4 Ni1 Ir1 Br2'
_symmetry_space_group_name_H-M 'P 1 2/m 1'
_symmetry_Int_Tables_number 10
_cell_length_a 7.181
_cell_length_b 4.164
_cell_length_c 8.204
_cell_angle_alpha 90.00
_cell_angle_beta 107.08
_cell_angle_gamma 90.00
loop_
_symmetry_equiv_pos_as_xyz
'x,y,z'
'-x,-y,-z'
'-x,y,-z'
'x,-y,z'
loop_
_atom_site_label
_atom_site_type_symbol
_atom_site_fract_x
_atom_site_fract_y
_atom_site_fract_z
_atom_site_occupancy
Pr1 Pr 0.229 0.000 0.193 1
Pr2 Pr 0.266 0.500 0.805 1
Ni1 Ni 0.000 0.500 0.000 1
Ir1 Ir 0.500 0.000 0.000 1
Br1 Br 0.000 0.000 0.500 1
Br2 Br 0.500 0.500 0.500 1

---

(6)
# TbNdPdPb GGA-PBE relaxed
# Energy of formation from the pure elements ... -590.8 meV/atom
data_TbNdPdPb
_chemical_formula_sum 'Tb4 Nd4 Pd4 Pb4'
_symmetry_space_group_name_H-M 'F -4 3 m'
_symmetry_Int_Tables_number 216
_symmetry_space_group_name_Hall 'F -4 2 3'
_cell_length_a 7.504
_cell_length_b 7.504
_cell_length_c 7.504
_cell_angle_alpha 90.00
_cell_angle_beta 90.00
_cell_angle_gamma 90.00
loop_
_atom_site_label
_atom_site_type_symbol
_atom_site_fract_x
_atom_site_fract_y
_atom_site_fract_z
_atom_site_occupancy
Tb1 Tb 0.000 0.000 0.000 1
Nd1 Nd 0.000 0.000 0.500 1
Pd1 Pd 0.250 0.250 0.250 1
Pb1 Pb 0.250 0.250 0.750 1

---

Across the entries above, M_tot takes the values 0.0 0.0 18.1 1.9 0.0 0.0 μB/cell, respectively.